No. 1
Na3AcPb2: optimized geometry, GGA-PBE.

Geometry as CIF:
```
data_Na3AcPb2
_cell_length_a 5.242
_cell_length_b 8.803
_cell_length_c 9.908
_cell_angle_alpha 116.14
_cell_angle_beta 90.00
_cell_angle_gamma 107.32
_space_group_name_H-M_alt 'P 1'
_space_group_IT_number 1
_space_group_name_Hall 'P 1'
loop_
_atom_site_label
_atom_site_type_symbol
_atom_site_fract_x
_atom_site_fract_y
_atom_site_fract_z
Na1 Na 0.287 0.574 0.467
Na2 Na 0.943 0.887 0.615
Na3 Na 0.596 0.191 0.710
Na4 Na 0.404 0.809 0.290
Na5 Na 0.057 0.113 0.385
Na6 Na 0.713 0.426 0.533
Ac1 Ac 0.861 0.722 0.973
Ac2 Ac 0.139 0.278 0.027
Pb1 Pb 0.444 0.889 0.825
Pb2 Pb 0.556 0.111 0.175
Pb3 Pb 0.782 0.564 0.251
Pb4 Pb 0.218 0.436 0.749
```

Fermi-level density of states	6.86	states/eV/cell
uncorrected energy	-2.818	eV per atom
space group	C2/m, No. 12
energy relative to the elements	-0.237	eV per atom
total moment	0.0	μB per formula unit

***

No. 2
Na4AcPb: optimized geometry, GGA-PBE.

Geometry as CIF:
```
data_Na4AcPb
_cell_length_a 6.555
_cell_length_b 6.555
_cell_length_c 6.555
_cell_angle_alpha 60.00
_cell_angle_beta 60.00
_cell_angle_gamma 60.00
_space_group_name_H-M_alt 'P 1'
_space_group_IT_number 1
_space_group_name_Hall 'P 1'
loop_
_atom_site_label
_atom_site_type_symbol
_atom_site_fract_x
_atom_site_fract_y
_atom_site_fract_z
Pb1 Pb 0.000 0.000 0.000
Na1 Na 0.626 0.626 0.123
Na2 Na 0.626 0.123 0.626
Na3 Na 0.626 0.626 0.626
Na4 Na 0.123 0.626 0.626
Ac1 Ac 0.250 0.250 0.250
```

Fermi-level density of states	4.95	states/eV/cell
uncorrected energy	-2.119	eV per atom
space group	F-43m, No. 216
energy relative to the elements	0.063	eV per atom
total moment	0.0	μB per formula unit

***

No. 3
Na2Ac2Pb3: optimized geometry, GGA-PBE.

Geometry as CIF:
```
data_Na2Ac2Pb3
_cell_length_a 3.905
_cell_length_b 3.844
_cell_length_c 16.246
_cell_angle_alpha 90.00
_cell_angle_beta 83.10
_cell_angle_gamma 90.00
_space_group_name_H-M_alt 'P 1'
_space_group_IT_number 1
_space_group_name_Hall 'P 1'
loop_
_atom_site_label
_atom_site_type_symbol
_atom_site_fract_x
_atom_site_fract_y
_atom_site_fract_z
Na1 Na 0.703 0.500 0.593
Na2 Na 0.297 0.500 0.407
Ac1 Ac 0.574 0.500 0.851
Ac2 Ac 0.426 0.500 0.149
Pb1 Pb 0.853 0.000 0.295
Pb2 Pb 0.000 0.000 0.000
Pb3 Pb 0.147 0.000 0.705
```

Fermi-level density of states	4.61	states/eV/cell
uncorrected energy	-3.451	eV per atom
space group	Cmmm, No. 65
energy relative to the elements	-0.311	eV per atom
total moment	0.0	μB per formula unit

***

No. 4
Na4AcPb2: optimized geometry, GGA-PBE.

Geometry as CIF:
```
data_Na4AcPb2
_cell_length_a 5.153
_cell_length_b 9.345
_cell_length_c 9.345
_cell_angle_alpha 90.00
_cell_angle_beta 90.00
_cell_angle_gamma 90.00
_space_group_name_H-M_alt 'P 1'
_space_group_IT_number 1
_space_group_name_Hall 'P 1'
loop_
_atom_site_label
_atom_site_type_symbol
_atom_site_fract_x
_atom_site_fract_y
_atom_site_fract_z
Na1 Na 0.000 0.107 0.347
Na2 Na 0.000 0.893 0.653
Na3 Na 0.500 0.153 0.607
Na4 Na 0.500 0.847 0.393
Na5 Na 0.500 0.393 0.847
Na6 Na 0.500 0.607 0.153
Na7 Na 0.000 0.347 0.107
Na8 Na 0.000 0.653 0.893
Ac1 Ac 0.500 0.000 0.000
Ac2 Ac 0.000 0.500 0.500
Pb1 Pb 0.000 0.191 0.809
Pb2 Pb 0.000 0.809 0.191
Pb3 Pb 0.500 0.691 0.691
Pb4 Pb 0.500 0.309 0.309
```

Fermi-level density of states	6.95	states/eV/cell
uncorrected energy	-2.596	eV per atom
space group	P4_2/mnm, No. 136
excess energy over the best structure of this formula in the dataset	0	meV per atom
energy relative to the elements	-0.196	eV per atom
total moment	0.0	μB per formula unit

***

No. 5
NaAc12Pb7: optimized geometry, GGA-PBE.

Geometry as CIF:
```
data_NaAc12Pb7
_cell_length_a 10.474
_cell_length_b 10.474
_cell_length_c 10.474
_cell_angle_alpha 111.10
_cell_angle_beta 111.10
_cell_angle_gamma 111.10
_space_group_name_H-M_alt 'P 1'
_space_group_IT_number 1
_space_group_name_Hall 'P 1'
loop_
_atom_site_label
_atom_site_type_symbol
_atom_site_fract_x
_atom_site_fract_y
_atom_site_fract_z
Na1 Na 0.000 0.000 0.000
Ac1 Ac 0.000 0.270 0.730
Ac2 Ac 0.730 0.270 0.000
Ac3 Ac 0.476 0.159 0.476
Ac4 Ac 0.841 0.524 0.524
Ac5 Ac 0.270 0.000 0.730
Ac6 Ac 0.524 0.524 0.841
Ac7 Ac 0.476 0.476 0.159
Ac8 Ac 0.730 0.000 0.270
Ac9 Ac 0.159 0.476 0.476
Ac10 Ac 0.524 0.841 0.524
Ac11 Ac 0.270 0.730 0.000
Ac12 Ac 0.000 0.730 0.270
Pb1 Pb 0.859 0.525 0.859
Pb2 Pb 0.475 0.141 0.141
Pb3 Pb 0.141 0.141 0.475
Pb4 Pb 0.500 0.500 0.500
Pb5 Pb 0.859 0.859 0.525
Pb6 Pb 0.525 0.859 0.859
Pb7 Pb 0.141 0.475 0.141
```

Fermi-level density of states	20.56	states/eV/cell
uncorrected energy	-4.093	eV per atom
space group	R-3m, No. 166
energy relative to the elements	-0.264	eV per atom
total moment	0.0	μB per formula unit

***

No. 6
Na4AcPb2: optimized geometry, GGA-PBE.

Geometry as CIF:
```
data_Na4AcPb2
_cell_length_a 5.021
_cell_length_b 4.472
_cell_length_c 10.726
_cell_angle_alpha 102.03
_cell_angle_beta 90.00
_cell_angle_gamma 90.00
_space_group_name_H-M_alt 'P 1'
_space_group_IT_number 1
_space_group_name_Hall 'P 1'
loop_
_atom_site_label
_atom_site_type_symbol
_atom_site_fract_x
_atom_site_fract_y
_atom_site_fract_z
Na1 Na 0.500 0.818 0.635
Na2 Na 0.000 0.672 0.344
Na3 Na 0.500 0.182 0.365
Na4 Na 0.000 0.328 0.656
Ac1 Ac 0.000 0.000 0.000
Pb1 Pb 0.500 0.572 0.145
Pb2 Pb 0.500 0.428 0.855
```

Fermi-level density of states	2.93	states/eV/cell
uncorrected energy	-2.581	eV per atom
space group	Cmmm, No. 65
excess energy over the best structure of this formula in the dataset	15	meV per atom
energy relative to the elements	-0.181	eV per atom
total moment	0.0	μB per formula unit